Computed, not measured: a relaxed structure of Li7MnP4O16 at the PBE+U level of DFT.

Results
uncorrected energy = -6.47 eV per atom

Cell: 4.757 5.933 10.269 Å, 90.00 90.58 90.00°
Space group Pm (No. 6)
Symmetry-distinct sites (fractional):
Li1 0.000 0.000 0.000
Li2 0.023 0.239 0.286
Li3 0.032 0.500 0.548
Li4 0.534 0.240 0.749
Li5 0.543 0.000 0.491
Mn1 0.513 0.500 0.054
P1 0.087 0.000 0.678
P2 0.459 0.000 0.181
P3 0.588 0.500 0.363
P4 0.930 0.500 0.881
O1 0.208 0.000 0.820
O2 0.220 0.210 0.612
O3 0.254 0.500 0.893
O4 0.269 0.500 0.357
O5 0.317 0.000 0.314
O6 0.327 0.214 0.106
O7 0.718 0.500 0.215
O8 0.726 0.292 0.427
O9 0.765 0.000 0.674
O10 0.778 0.000 0.180
O11 0.783 0.300 0.957
O12 0.824 0.500 0.740